[1]
First-principles (PBE-GGA) data for a geometry-optimized BaRu2Se structure, as listed in Alexandria.

Cell: 4.0881 4.0100 5.9301 Å, 82.71 90.00 90.00°
With the nearest neighbours (Å) after each atom.
Atoms (fractional coordinates):
Ba  0.5000  0.8440  0.7255  5 Ru 3.26-3.49, 4 Se 3.36-3.43
Ru  0.0000  0.9455  0.1783  2 Se 2.39-2.50, 2 Ru 2.47
Ru  0.5000  0.2929  0.1806  2 Ru 2.47, 2 Se 2.56
Se  0.0000  0.4176  0.4156  4 Ru 2.39-2.56

Computed properties:
As for the energy: -0.4397 Ry per atom. The density comes out at 7.2 g/cm3. As for the density of states at the Fermi level: 1.09 states/eV per atom.

=====

[2]
First-principles (PBE-GGA) data for a geometry-optimized CaTa structure, as listed in Alexandria.

Cell: 9.0013 9.0013 9.0013 Å, 90.00 90.00 90.00°
With the nearest neighbours (Å) after each atom.
Atoms (fractional coordinates):
Ca  0.2500  0.0000  0.5000  4 Ta 3.18
Ca  0.7500  0.0000  0.5000  4 Ta 3.18
Ca  0.0000  0.5000  0.2500  4 Ta 3.18
Ca  0.0000  0.5000  0.7500  4 Ta 3.18
Ca  0.5000  0.2500  0.0000  4 Ta 3.18
Ca  0.5000  0.7500  0.0000  4 Ta 3.18
Ta  0.2500  0.5000  0.0000  4 Ca 3.18
Ta  0.7500  0.5000  0.0000  4 Ca 3.18
Ta  0.5000  0.0000  0.2500  4 Ca 3.18
Ta  0.5000  0.0000  0.7500  4 Ca 3.18
Ta  0.0000  0.2500  0.5000  4 Ca 3.18
Ta  0.0000  0.7500  0.5000  4 Ca 3.18

Computed properties:
For the polymorph energy (0 for the lowest one), the calculation gives 2.682 eV per atom. As for the energy: -0.2858 Ry per atom. The density comes out at 3.0 g/cm3. Its formation energy is 6.1 eV/f.u. As for the density of states at the Fermi level: 0.94 states/eV per atom.

=====

[3]
First-principles (PBE-GGA) data for a geometry-optimized K5CeO5 structure, as listed in Alexandria.

Cell: 5.2275 6.6934 7.4194 Å, 107.34 90.00 112.99°
With the nearest neighbours (Å) after each atom.
Atoms (fractional coordinates):
K  0.6923  0.3845  0.3147  4 O 2.69-2.88
K  0.6752  0.3504  0.8510  5 O 2.68-2.80
K  0.0000  0.0000  0.5000  4 O 2.60-2.69
K  0.3248  0.6496  0.1490  5 O 2.68-2.80
K  0.3077  0.6155  0.6853  4 O 2.69-2.88
Ce  0.0000  0.0000  0.0000  4 O 2.18-2.24
O  0.8714  0.7429  0.1443  1 Ce 2.18
O  0.8623  0.7246  0.7160  1 Ce 2.24
O  0.5000  0.0000  0.0000  2 Ce 2.61, 4 K 2.73-2.74
O  0.1377  0.2754  0.2840  1 Ce 2.24
O  0.1286  0.2571  0.8557  1 Ce 2.18

Computed properties:
As for the energy: -0.3701 Ry per atom. The density comes out at 3.1 g/cm3. As for the density of states at the Fermi level: 1.29 states/eV per atom.

=====

[4]
First-principles (PBE-GGA) data for a geometry-optimized Lu2SeN structure, as listed in Alexandria.

Cell: 3.5732 3.5732 6.6687 Å, 74.46 74.46 60.00°
With the nearest neighbours (Å) after each atom.
Atoms (fractional coordinates):
Lu  0.2679  0.2679  0.1963  3 N 2.41
Lu  0.7321  0.7321  0.8037  3 N 2.41
Se  0.5000  0.5000  0.5000  6 Lu 2.82
N  0.0000  0.0000  0.0000  6 Lu 2.41

Computed properties:
As for the energy: -0.5082 Ry per atom. The density comes out at 10.5 g/cm3. As for the density of states at the Fermi level: 0.27 states/eV per atom.

=====

[5]
First-principles (PBE-GGA) data for a geometry-optimized KLi2CrBr6 structure, as listed in Alexandria.

Cell: 8.1143 9.7355 9.7355 Å, 80.96 72.26 72.26°
With the nearest neighbours (Å) after each atom.
Atoms (fractional coordinates):
K  0.2500  0.8508  0.1492  6 Br 3.31-3.52
K  0.7500  0.1492  0.8508  6 Br 3.31-3.52
Li  0.3490  0.6419  0.5109  4 Br 2.53-2.64
Li  0.1510  0.4891  0.3581  4 Br 2.53-2.64
Li  0.6510  0.3581  0.4891  4 Br 2.53-2.64
Li  0.8490  0.5109  0.6419  4 Br 2.53-2.64
Cr  0.2500  0.2018  0.7982  4 Br 2.36-2.42
Cr  0.7500  0.7982  0.2018  4 Br 2.36-2.42
Br  0.1825  0.9806  0.8061  1 Cr 2.36
Br  0.3175  0.1939  0.0194  1 Cr 2.36
Br  0.8175  0.0194  0.1939  1 Cr 2.36
Br  0.6825  0.8061  0.9806  1 Cr 2.36
Br  0.4654  0.8678  0.3826  1 Cr 2.42, 1 Li 2.64
Br  0.0346  0.6174  0.1322  1 Cr 2.42, 1 Li 2.64
Br  0.5346  0.1322  0.6174  1 Cr 2.42, 1 Li 2.64
Br  0.9654  0.3826  0.8678  1 Cr 2.42, 1 Li 2.64
Br  0.0171  0.6981  0.5243  3 Li 2.53-2.56
Br  0.4829  0.4757  0.3019  3 Li 2.53-2.56
Br  0.9829  0.3019  0.4757  3 Li 2.53-2.56
Br  0.5171  0.5243  0.6981  3 Li 2.53-2.56

Computed properties:
As for the energy: -0.2659 Ry per atom. The density comes out at 2.8 g/cm3.

=====

[6]
First-principles (PBE-GGA) data for a geometry-optimized Sm4Hg3Ir structure, as listed in Alexandria.

Cell: 3.6674 3.6674 15.3506 Å, 90.00 90.00 90.00°
With the nearest neighbours (Å) after each atom.
Atoms (fractional coordinates):
Ir  0.5000  0.5000  0.0000  8 Sm 3.06
Hg  0.5000  0.5000  0.2448  8 Sm 3.23-3.35
Hg  0.5000  0.5000  0.5000  8 Sm 3.27
Hg  0.5000  0.5000  0.7552  8 Sm 3.23-3.35
Sm  0.0000  0.0000  0.8936  4 Ir 3.06, 1 Sm 3.27, 4 Hg 3.35
Sm  0.0000  0.0000  0.1064  4 Ir 3.06, 1 Sm 3.27, 4 Hg 3.35
Sm  0.0000  0.0000  0.3708  8 Hg 3.23-3.27
Sm  0.0000  0.0000  0.6292  8 Hg 3.23-3.27

Computed properties:
As for the energy: -0.3022 Ry per atom. The density comes out at 11.2 g/cm3. Its formation energy is -4.2 eV/f.u. As for the density of states at the Fermi level: 0.85 states/eV per atom.

=====

[7]
First-principles (PBE-GGA) data for a geometry-optimized YLuSe3 structure, as listed in Alexandria.

Cell: 7.6388 7.6388 7.6388 Å, 55.61 55.61 55.61°
With the nearest neighbours (Å) after each atom.
Atoms (fractional coordinates):
Y  0.3486  0.3486  0.3486  6 Se 2.84-2.91
Y  0.6514  0.6514  0.6514  6 Se 2.84-2.91
Lu  0.1540  0.1540  0.1540  6 Se 2.79-2.85
Lu  0.8460  0.8460  0.8460  6 Se 2.79-2.85
Se  0.4419  0.0544  0.7572  2 Lu 2.79-2.85, 2 Y 2.84-2.91
Se  0.0544  0.7572  0.4419  2 Lu 2.79-2.85, 2 Y 2.84-2.91
Se  0.2428  0.5581  0.9456  2 Lu 2.79-2.85, 2 Y 2.84-2.91
Se  0.9456  0.2428  0.5581  2 Lu 2.79-2.85, 2 Y 2.84-2.91
Se  0.5581  0.9456  0.2428  2 Lu 2.79-2.85, 2 Y 2.84-2.91
Se  0.7572  0.4419  0.0544  2 Lu 2.79-2.85, 2 Y 2.84-2.91

Computed properties:
For the polymorph energy (0 for the lowest one), the calculation gives 0.039 eV per atom. As for the energy: -0.4504 Ry per atom. The density comes out at 5.9 g/cm3. As for the density of states at the Fermi level: 0.00 states/eV per atom.

=====

[8]
First-principles (PBE-GGA) data for a geometry-optimized NdErTe2Se structure, as listed in Alexandria.

Cell: 4.3551 4.3551 15.6169 Å, 90.00 90.00 90.00°
With the nearest neighbours (Å) after each atom.
Atoms (fractional coordinates):
Nd  0.5000  0.0000  0.6322  4 Se 3.00, 4 Te 3.33
Nd  0.0000  0.5000  0.3678  4 Se 3.00, 4 Te 3.33
Er  0.5000  0.0000  0.0900  6 Te 3.07-3.09
Er  0.0000  0.5000  0.9100  6 Te 3.07-3.09
Te  0.0000  0.5000  0.7133  1 Er 3.07, 4 Nd 3.33
Te  0.0000  0.5000  0.1074  5 Er 3.08-3.09
Te  0.5000  0.0000  0.8926  5 Er 3.08-3.09
Te  0.5000  0.0000  0.2867  1 Er 3.07, 4 Nd 3.33
Se  0.0000  0.0000  0.5000  4 Nd 3.00, 4 Se 3.08
Se  0.5000  0.5000  0.5000  4 Nd 3.00, 4 Se 3.08

Computed properties:
As for the energy: -0.3833 Ry per atom. The density comes out at 7.2 g/cm3. As for the density of states at the Fermi level: 0.37 states/eV per atom.

=====

[9]
First-principles (PBE-GGA) data for a geometry-optimized Sc3SeS structure, as listed in Alexandria.

Cell: 3.7153 6.2030 10.7539 Å, 115.83 90.00 90.00°
With the nearest neighbours (Å) after each atom.
Atoms (fractional coordinates):
Sc  0.2500  0.2433  0.9299  3 Se 2.70-2.88, 1 S 2.74
Sc  0.7500  0.7567  0.0701  3 Se 2.70-2.88, 1 S 2.74
Sc  0.2500  0.2042  0.4323  3 S 2.60-2.63, 1 Se 2.78
Sc  0.7500  0.7958  0.5677  3 S 2.60-2.63, 1 Se 2.78
Sc  0.2500  0.5617  0.7633  1 S 2.46, 2 Se 2.62
Sc  0.7500  0.4383  0.2367  1 S 2.46, 2 Se 2.62
Se  0.2500  0.1076  0.1542  6 Sc 2.62-2.88
Se  0.7500  0.8924  0.8458  6 Sc 2.62-2.88
S  0.2500  0.1219  0.6523  5 Sc 2.46-2.74
S  0.7500  0.8781  0.3477  5 Sc 2.46-2.74

Computed properties:
For the polymorph energy (0 for the lowest one), the calculation gives 0.127 eV per atom. As for the energy: -0.4790 Ry per atom. The density comes out at 3.7 g/cm3. As for the density of states at the Fermi level: 0.97 states/eV per atom.

=====

[10]
First-principles (PBE-GGA) data for a geometry-optimized CdGeI2 structure, as listed in Alexandria.

Cell: 8.7959 8.7959 8.1822 Å, 57.49 57.49 90.00°
With the nearest neighbours (Å) after each atom.
Atoms (fractional coordinates):
I  0.5270  0.1250  0.2500  2 Ge 2.90
I  0.2230  0.6250  0.2500  2 Ge 2.90
I  0.3750  0.4730  0.7500  2 Ge 2.90
I  0.8750  0.7770  0.7500  2 Ge 2.90
Ge  0.5000  0.5000  0.0000  4 I 2.90
Ge  0.2500  0.7500  0.5000  4 I 2.90
Cd  0.0000  0.0000  0.0000  4 I 4.00
Cd  0.7500  0.2500  0.5000  4 I 4.00

Computed properties:
For the polymorph energy (0 for the lowest one), the calculation gives 0.134 eV per atom. As for the energy: -0.1552 Ry per atom. The density comes out at 3.5 g/cm3. As for the density of states at the Fermi level: 0.00 states/eV per atom.

=====

[11]
First-principles (PBE-GGA) data for a geometry-optimized ZnAsF2 structure, as listed in Alexandria.

Cell: 4.2829 4.2829 4.2829 Å, 60.00 60.00 60.00°
With the nearest neighbours (Å) after each atom.
Atoms (fractional coordinates):
As  0.5000  0.5000  0.5000  8 F 2.62
Zn  0.0000  0.0000  0.0000  8 F 2.62
F  0.2500  0.2500  0.2500  4 As 2.62, 4 Zn 2.62
F  0.7500  0.7500  0.7500  4 As 2.62, 4 Zn 2.62

Computed properties:
For the polymorph energy (0 for the lowest one), the calculation gives 0.554 eV per atom. As for the energy: -0.2198 Ry per atom. The density comes out at 5.3 g/cm3. As for the density of states at the Fermi level: 0.97 states/eV per atom.

=====

[12]
First-principles (PBE-GGA) data for a geometry-optimized Ho2ThPt structure, as listed in Alexandria.

Cell: 5.1958 5.1958 5.1976 Å, 60.01 60.01 60.00°
With the nearest neighbours (Å) after each atom.
Atoms (fractional coordinates):
Pt  0.0000  0.0000  0.0000  8 Ho 3.18
Th  0.5000  0.5000  0.5000  8 Ho 3.18
Ho  0.2501  0.2501  0.2498  4 Pt 3.18, 4 Th 3.18
Ho  0.7499  0.7499  0.7502  4 Pt 3.18, 4 Th 3.18

Computed properties:
For the polymorph energy (0 for the lowest one), the calculation gives 0.511 eV per atom. As for the energy: -0.4265 Ry per atom. The density comes out at 12.7 g/cm3. Its formation energy is -0.6 eV/f.u. As for the density of states at the Fermi level: 1.52 states/eV per atom.